Entry from Alexandria via LeMat-Bulk: a relaxed SrCdAgPd crystal (PBE-GGA).

Properties
final energy	-3.05	eV per atom
space-group type	Cm
ΔE_f	-0.395	eV per atom
total moment	0.00	μB/f.u.

Cell: 4.7729 4.7729 5.8071 Å, 114.18 114.18 60.03°
Element x y z (fractional)
Sr1 0.0000 0.0000 0.0000
Cd1 0.5119 0.5119 0.5360
Ag1 0.7953 0.7953 0.3859
Pd1 0.2000 0.2000 0.6004